VASP calculation (GGA-PBE) on a geometry-optimized P2IrSe structure.

ΔE_f (raw) = 44 meV per atom
Uncorrected energy = -23.0 eV per formula unit

Geometry as CIF:
```
data_P2IrSe
_cell_length_a 5.9009
_cell_length_b 5.9009
_cell_length_c 9.7453
_cell_angle_alpha 90.00
_cell_angle_beta 90.00
_cell_angle_gamma 90.00
_symmetry_space_group_name_H-M 'I -4 2 d'
_symmetry_Int_Tables_number 122
_symmetry_space_group_name_Hall 'I -4 2bw'
loop_
_atom_site_label
_atom_site_type_symbol
_atom_site_fract_x
_atom_site_fract_y
_atom_site_fract_z
P1 P 0.2011 0.2500 0.1250
Ir1 Ir 0.0000 0.0000 0.0000
Se1 Se 0.0000 0.0000 0.5000
```